VASP calculation (PBE-GGA) on Ca3ZrGe after structural relaxation.

Results
Space-group type: Pm-3m, No. 221
Total energy in eV per atom: -2.796
ΔE_f in eV/f.u.: 5.2
Distance to the lowest polymorph of the same formula in eV/f.u.: 3.39

Cell lengths 5.6395, 5.6395, 5.6395 Å; angles 90.00, 90.00, 90.00 degrees
Positions (direct):
Ge (0.5000, 0.5000, 0.5000)
Ca (0.0000, 0.5000, 0.0000)
Ca (0.0000, 0.0000, 0.5000)
Ca (0.5000, 0.0000, 0.0000)
Zr (0.0000, 0.0000, 0.0000)